(1)
Li2FeOs: PBEsol geometry, meta-GGA SCAN.

Cell lengths 2.7002, 4.2837, 9.0694 Å; angles 90.00, 90.00, 90.00 degrees
Space group Cmmm (No. 65)
Unique sites:
Li (0.0000, 0.0000, 0.2489) x4
Fe (0.0000, 0.5000, 0.5000) x2
Os (0.0000, 0.5000, 0.0000) x2

Values from the calculation:
ΔE_f, eV/atom: 0.205
Polymorph energy (0 for the lowest one), meV/atom: 15
Raw total energy, eV per cell: -187.938

---

(2)
Li2FeOs: PBEsol geometry, meta-GGA SCAN.

Cell lengths 2.5422, 3.7755, 5.3654 Å; angles 90.00, 90.00, 90.00 degrees
Space group Pmm2 (No. 25)
Unique sites:
Li (0.0000, 0.0000, 0.0000) x1
Li (0.5000, 0.5000, 0.2270) x1
Fe (0.5000, 0.5000, 0.6886) x1
Os (0.0000, 0.0000, 0.5291) x1

Values from the calculation:
ΔE_f, eV/atom: 0.190
Polymorph energy (0 for the lowest one), meV/atom: 0
Raw total energy, eV per cell: -94.027

---

(3)
Li2FeOs: PBEsol geometry, meta-GGA SCAN.

Cell lengths 5.7005, 5.7005, 5.7005 Å; angles 90.00, 90.00, 90.00 degrees
Space group Fm-3m (No. 225)
Unique sites:
Li (0.2500, 0.2500, 0.2500) x8
Fe (0.0000, 0.0000, 0.0000) x4
Os (0.0000, 0.0000, 0.5000) x4

Values from the calculation:
ΔE_f, eV/atom: 0.579
Polymorph energy (0 for the lowest one), meV/atom: 388
Raw total energy, eV per cell: -369.899

---

(4)
Li2FeOs: PBEsol geometry, meta-GGA SCAN.

Cell lengths 5.6289, 5.6289, 5.6289 Å; angles 90.00, 90.00, 90.00 degrees
Space group F-43m (No. 216)
Unique sites:
Li (0.0000, 0.0000, 0.0000) x4
Li (0.2500, 0.2500, 0.2500) x4
Fe (0.2500, 0.2500, 0.7500) x4
Os (0.0000, 0.0000, 0.5000) x4

Values from the calculation:
ΔE_f, eV/atom: 0.271
Polymorph energy (0 for the lowest one), meV/atom: 81
Raw total energy, eV per cell: -374.819

---

(5)
LiFe2Os: PBEsol geometry, meta-GGA SCAN.

Cell lengths 2.5327, 3.7638, 4.9081 Å; angles 90.00, 90.00, 90.00 degrees
Space group Pmmm (No. 47)
Unique sites:
Li (0.0000, 0.0000, 0.0000) x1
Fe (0.5000, 0.5000, 0.2521) x2
Os (0.0000, 0.0000, 0.5000) x1

Values from the calculation:
ΔE_f, eV/atom: 0.234
Raw total energy, eV per cell: -109.592

---

(6)
LiFe2OsS: PBEsol geometry, meta-GGA SCAN.

Cell lengths 4.0401, 4.0401, 3.8571 Å; angles 90.00, 90.00, 90.00 degrees
Space group P4/mmm (No. 123)
Unique sites:
Li (0.0000, 0.0000, 0.0000) x1
Fe (0.0000, 0.5000, 0.0000) x2
Os (0.5000, 0.5000, 0.5000) x1
S (0.0000, 0.0000, 0.5000) x1

Values from the calculation:
Energy relative to the elements, uncorrected, eV per atom: 1.09
Raw total energy, eV per cell: -114.688

---

(7)
LiZn2FeOs: PBEsol geometry, meta-GGA SCAN.

Cell lengths 3.9901, 3.9901, 4.1934 Å; angles 90.00, 90.00, 90.00 degrees
Space group P4/mmm (No. 123)
Unique sites:
Li (0.0000, 0.0000, 0.0000) x1
Zn (0.0000, 0.5000, 0.0000) x2
Fe (0.5000, 0.5000, 0.5000) x1
Os (0.0000, 0.0000, 0.5000) x1

Values from the calculation:
ΔE_f, eV/atom: 0.852
Raw total energy, eV per cell: -115.170

---

(8)
LiFeP2: PBEsol geometry, meta-GGA SCAN.

Cell lengths 6.9862, 2.7819, 5.2975 Å; angles 90.00, 100.62, 90.00 degrees
Space group C2/m (No. 12)
Unique sites:
Li (0.0000, 0.0000, 0.0000) x2
Fe (0.0000, 0.5000, 0.5000) x2
P (0.2353, 0.0000, 0.6960) x4

Values from the calculation:
ΔE_f, eV/atom: -0.297
Polymorph energy (0 for the lowest one), meV/atom: 8
Raw total energy, eV per cell: -85.012

---

(9)
Li2FeP: PBEsol geometry, meta-GGA SCAN.

Cell lengths 2.7669, 3.7252, 8.6255 Å; angles 90.00, 90.00, 90.00 degrees
Space group Immm (No. 71)
Unique sites:
Li (0.0000, 0.0000, 0.2343) x4
Fe (0.0000, 0.5000, 0.0000) x2
P (0.0000, 0.5000, 0.5000) x2

Values from the calculation:
ΔE_f, eV/atom: -0.180
Raw total energy, eV per cell: -68.053

---

(10)
LiFeP2: PBEsol geometry, meta-GGA SCAN.

Cell lengths 2.7097, 2.7097, 6.6988 Å; angles 90.00, 90.00, 90.00 degrees
Space group P4/mmm (No. 123)
Unique sites:
Li (0.0000, 0.0000, 0.0000) x1
Fe (0.0000, 0.0000, 0.5000) x1
P (0.5000, 0.5000, 0.2938) x2

Values from the calculation:
ΔE_f, eV/atom: -0.305
Polymorph energy (0 for the lowest one), meV/atom: 0
Raw total energy, eV per cell: -42.538

---

(11)
Li2Fe12P7: PBEsol geometry, meta-GGA SCAN.

Cell lengths 8.7254, 8.7254, 3.5272 Å; angles 90.00, 90.00, 120.00 degrees
Space group P-6 (No. 174)
Unique sites:
Li (0.0000, 0.0000, 0.0000) x1
Li (0.3333, 0.6667, 0.5000) x1
Fe (0.0461, 0.7604, 0.5000) x3
Fe (0.0974, 0.3746, 0.0000) x3
Fe (0.4568, 0.2448, 0.0000) x3
Fe (0.5040, 0.0554, 0.5000) x3
P (0.0765, 0.6195, 0.0000) x3
P (0.2483, 0.0442, 0.5000) x3
P (0.6667, 0.3333, 0.5000) x1

Values from the calculation:
ΔE_f, eV/atom: -0.439
Raw total energy, eV per cell: -304.338

---

(12)
Li2FeP: PBEsol geometry, meta-GGA SCAN.

Cell lengths 3.4219, 3.4219, 3.9595 Å; angles 90.00, 90.00, 90.00 degrees
Space group P4/mmm (No. 123)
Unique sites:
Li (0.0000, 0.5000, 0.0000) x2
Fe (0.0000, 0.0000, 0.5000) x1
P (0.5000, 0.5000, 0.5000) x1

Values from the calculation:
ΔE_f, eV/atom: -0.264
Raw total energy, eV per cell: -34.363

---

(13)
LiFePb3: PBEsol geometry, meta-GGA SCAN.

Cell lengths 5.0141, 5.0141, 5.0141 Å; angles 90.00, 90.00, 90.00 degrees
Space group Pm-3m (No. 221)
Unique sites:
Li (0.0000, 0.0000, 0.0000) x1
Fe (0.5000, 0.5000, 0.5000) x1
Pb (0.0000, 0.0000, 0.5000) x3

Values from the calculation:
ΔE_f, eV/atom: 0.635
Polymorph energy (0 for the lowest one), meV/atom: 451
Raw total energy, eV per cell: -244.685

---

(14)
LiFePb3: PBEsol geometry, meta-GGA SCAN.

Cell lengths 5.1285, 5.1285, 5.1285 Å; angles 90.00, 90.00, 90.00 degrees
Space group Pm-3m (No. 221)
Unique sites:
Li (0.0000, 0.0000, 0.0000) x1
Fe (0.5000, 0.5000, 0.5000) x1
Pb (0.0000, 0.5000, 0.5000) x3

Values from the calculation:
ΔE_f, eV/atom: 0.184
Polymorph energy (0 for the lowest one), meV/atom: 0
Raw total energy, eV per cell: -246.941

---

(15)
LiFePb: PBEsol geometry, meta-GGA SCAN.

Cell lengths 3.0674, 3.8381, 8.4343 Å; angles 90.00, 90.00, 90.00 degrees
Space group Imm2 (No. 44)
Unique sites:
Li (0.0000, 0.0000, 0.0000) x2
Fe (0.0000, 0.0000, 0.3431) x2
Pb (0.0000, 0.0000, 0.6752) x2

Values from the calculation:
ΔE_f, eV/atom: 0.177
Raw total energy, eV per cell: -191.537

---

(16)
Li2FePb: PBEsol geometry, meta-GGA SCAN.

Cell lengths 3.3076, 3.3076, 5.9681 Å; angles 90.00, 90.00, 90.00 degrees
Space group P4/mmm (No. 123)
Unique sites:
Li (0.0000, 0.0000, 0.2218) x2
Fe (0.5000, 0.5000, 0.0000) x1
Pb (0.5000, 0.5000, 0.5000) x1

Values from the calculation:
ΔE_f, eV/atom: 0.146
Raw total energy, eV per cell: -98.105

---

(17)
LiFePb2: PBEsol geometry, meta-GGA SCAN.

Cell lengths 8.6325, 3.2956, 5.9564 Å; angles 90.00, 102.06, 90.00 degrees
Space group C2/m (No. 12)
Unique sites:
Li (0.0000, 0.0000, 0.0000) x2
Fe (0.0000, 0.5000, 0.5000) x2
Pb (0.2403, 0.0000, 0.7290) x4

Values from the calculation:
ΔE_f, eV/atom: 0.144
Raw total energy, eV per cell: -343.009

---

(18)
Li2FePb: PBEsol geometry, meta-GGA SCAN.

Cell lengths 3.8894, 3.8894, 4.2711 Å; angles 90.00, 90.00, 90.00 degrees
Space group P4/mmm (No. 123)
Unique sites:
Li (0.0000, 0.5000, 0.0000) x2
Fe (0.0000, 0.0000, 0.5000) x1
Pb (0.5000, 0.5000, 0.5000) x1

Values from the calculation:
ΔE_f, eV/atom: 0.024
Raw total energy, eV per cell: -98.594

---

(19)
LiFePb: PBEsol geometry, meta-GGA SCAN.

Cell lengths 3.0965, 3.0965, 6.8756 Å; angles 90.00, 90.00, 120.00 degrees
Space group P3m1 (No. 156)
Unique sites:
Li (0.0000, 0.0000, 0.0000) x1
Fe (0.3333, 0.6667, 0.3098) x1
Pb (0.6667, 0.3333, 0.6328) x1

Values from the calculation:
ΔE_f, eV/atom: 0.408
Raw total energy, eV per cell: -95.076

---

(20)
LiFe2PdPb: PBEsol geometry, meta-GGA SCAN.

Cell lengths 4.1830, 4.1830, 4.2902 Å; angles 90.00, 90.00, 90.00 degrees
Space group P4/mmm (No. 123)
Unique sites:
Li (0.0000, 0.0000, 0.0000) x1
Fe (0.0000, 0.5000, 0.0000) x2
Pd (0.0000, 0.0000, 0.5000) x1
Pb (0.5000, 0.5000, 0.5000) x1

Values from the calculation:
ΔE_f, eV/atom: 0.640
Raw total energy, eV per cell: -144.004

---

(21)
LiFe2PbS: PBEsol geometry, meta-GGA SCAN.

Cell lengths 4.1522, 4.1522, 5.6068 Å; angles 90.00, 90.00, 90.00 degrees
Space group P4/mmm (No. 123)
Unique sites:
Li (0.0000, 0.0000, 0.0000) x1
Fe (0.0000, 0.5000, 0.5000) x2
Pb (0.5000, 0.5000, 0.0000) x1
S (0.5000, 0.5000, 0.5000) x1

Values from the calculation:
Energy relative to the elements, uncorrected, eV per atom: 0.27
Raw total energy, eV per cell: -122.699

---

(22)
LiFe2Pt: PBEsol geometry, meta-GGA SCAN.

Cell lengths 2.7863, 4.0247, 4.3107 Å; angles 90.00, 90.00, 90.00 degrees
Space group Pmmm (No. 47)
Unique sites:
Li (0.0000, 0.0000, 0.0000) x1
Fe (0.0000, 0.5000, 0.5000) x1
Fe (0.5000, 0.0000, 0.5000) x1
Pt (0.5000, 0.5000, 0.0000) x1

Values from the calculation:
ΔE_f, eV/atom: -0.239
Raw total energy, eV per cell: -109.798

---

(23)
Li2FePt: PBEsol geometry, meta-GGA SCAN.

Cell lengths 2.6259, 3.9131, 5.2751 Å; angles 90.00, 90.00, 90.00 degrees
Space group Pmm2 (No. 25)
Unique sites:
Li (0.0000, 0.0000, 0.0000) x1
Li (0.5000, 0.5000, 0.2414) x1
Fe (0.5000, 0.5000, 0.7061) x1
Pt (0.0000, 0.0000, 0.5136) x1

Values from the calculation:
ΔE_f, eV/atom: -0.264
Raw total energy, eV per cell: -94.159

---

(24)
LiFe2Pt: PBEsol geometry, meta-GGA SCAN.

Cell lengths 8.4809, 2.6348, 4.5651 Å; angles 90.00, 100.95, 90.00 degrees
Space group Cm (No. 8)
Unique sites:
Li (0.0000, 0.0000, 0.0000) x2
Fe (0.2610, 0.5000, 0.2606) x2
Fe (0.4989, 0.0000, 0.4935) x2
Pt (0.2450, 0.0000, 0.7593) x2

Values from the calculation:
ΔE_f, eV/atom: -0.213
Raw total energy, eV per cell: -219.385

---

(25)
Li2FePt: PBEsol geometry, meta-GGA SCAN.

Cell lengths 2.6398, 2.6398, 26.3969 Å; angles 90.00, 90.00, 120.00 degrees
Space group R-3m (No. 166, hexagonal axes)
Unique sites:
Li (0.0000, 0.0000, 0.2481) x6
Fe (0.0000, 0.0000, 0.0000) x3
Pt (0.0000, 0.0000, 0.5000) x3

Values from the calculation:
ΔE_f, eV/atom: -0.187
Raw total energy, eV per cell: -281.546

---

(26)
LiFe2Pt: PBEsol geometry, meta-GGA SCAN.

Cell lengths 2.6209, 2.6209, 7.6056 Å; angles 90.00, 90.00, 90.00 degrees
Space group P4mm (No. 99)
Unique sites:
Li (0.0000, 0.0000, 0.0000) x1
Fe (0.0000, 0.0000, 0.4898) x1
Fe (0.5000, 0.5000, 0.7198) x1
Pt (0.5000, 0.5000, 0.2483) x1

Values from the calculation:
ΔE_f, eV/atom: -0.142
Raw total energy, eV per cell: -109.411

---

(27)
LiFeSn2Pt: PBEsol geometry, meta-GGA SCAN.

Cell lengths 4.6402, 4.6402, 4.0398 Å; angles 90.00, 90.00, 90.00 degrees
Space group P4/mmm (No. 123)
Unique sites:
Li (0.0000, 0.0000, 0.0000) x1
Fe (0.0000, 0.0000, 0.5000) x1
Sn (0.0000, 0.5000, 0.0000) x2
Pt (0.5000, 0.5000, 0.5000) x1

Values from the calculation:
ΔE_f, eV/atom: 0.687
Raw total energy, eV per cell: -159.122

---

(28)
LiFeRe2: PBEsol geometry, meta-GGA SCAN.

Cell lengths 3.0312, 3.0312, 5.5016 Å; angles 90.00, 90.00, 90.00 degrees
Space group P4mm (No. 99)
Unique sites:
Li (0.0000, 0.0000, 0.0000) x1
Fe (0.5000, 0.5000, 0.7911) x1
Re (0.0000, 0.0000, 0.5160) x1
Re (0.5000, 0.5000, 0.2478) x1

Values from the calculation:
ΔE_f, eV/atom: 0.248
Polymorph energy (0 for the lowest one), meV/atom: 58
Raw total energy, eV per cell: -161.723

---

(29)
Li2FeRe: PBEsol geometry, meta-GGA SCAN.

Cell lengths 8.3509, 2.4739, 5.0876 Å; angles 90.00, 93.63, 90.00 degrees
Space group Cm (No. 8)
Unique sites:
Li (0.0000, 0.0000, 0.0000) x2
Li (0.2444, 0.0000, 0.7864) x2
Fe (0.0020, 0.5000, 0.4800) x2
Re (0.2511, 0.5000, 0.3088) x2

Values from the calculation:
ΔE_f, eV/atom: 0.291
Polymorph energy (0 for the lowest one), meV/atom: 30
Raw total energy, eV per cell: -185.683